Entry 1:
Compound: TiCdPH2
Source: Alexandria via LeMat-Bulk
Functional: PBE-GGA
Structure: optimized geometry

Cell lengths 3.8653, 4.9136, 3.8653 Å; angles 90.00, 90.00, 90.00 degrees
Last column: magnetic moment on the atom in μB.
Fractional positions:
1 H 0.5000 0.0000 0.0000  0.00
2 H 0.0000 0.0000 0.5000  0.00
3 Ti 0.0000 0.5000 0.0000  0.65
4 P 0.0000 0.0000 0.0000  -0.03
5 Cd 0.5000 0.5000 0.5000  0.06

## Properties
As for the space group: No. 123. For the energy, the calculation gives -18.38 eV for the cell shown.


Entry 2:
Compound: CaNiAg2
Source: Alexandria via LeMat-Bulk
Functional: PBE-GGA
Structure: optimized geometry

Cell lengths 4.7531, 4.7531, 4.7531 Å; angles 60.00, 60.00, 60.00 degrees
Fractional positions:
1 Ag 0.0000 0.0000 0.0000
2 Ag 0.7500 0.7500 0.7500
3 Ni 0.2500 0.2500 0.2500
4 Ca 0.5000 0.5000 0.5000

## Properties
As for the space group: No. 216. The formation energy is 0.0291 eV per atom.


Entry 3:
Compound: CuNiSe2
Source: Alexandria via LeMat-Bulk
Functional: PBE-GGA
Structure: optimized geometry

Cell lengths 4.1182, 5.6892, 6.0038 Å; angles 88.18, 92.22, 106.06 degrees
Fractional positions:
1 Ni 0.1275 0.9894 0.8784
2 Ni 0.7976 0.8721 0.2882
3 Cu 0.7952 0.3843 0.3820
4 Cu 0.1295 0.4774 0.7846
5 Se 0.2255 0.6941 0.1515
6 Se 0.6993 0.1674 0.0152
7 Se 0.2219 0.1690 0.5119
8 Se 0.7028 0.6925 0.6547

## Properties
As for the space group: No. 2. The uncorrected formation energy is -177.5 meV/atom.


Entry 4:
Compound: ThCdNiPt
Source: Alexandria via LeMat-Bulk
Functional: PBE-GGA
Structure: optimized geometry

Cell lengths 4.8536, 4.8536, 4.8536 Å; angles 60.00, 60.00, 60.00 degrees
Fractional positions:
1 Ni 0.2500 0.2500 0.2500
2 Pt 0.7500 0.7500 0.7500
3 Th 0.0000 0.0000 0.0000
4 Cd 0.5000 0.5000 0.5000

## Properties
As for the space group: No. 216. The formation energy is -0.5408 eV per atom.


Entry 5:
Compound: La4YAl
Source: Alexandria via LeMat-Bulk
Functional: PBE-GGA
Structure: optimized geometry

Cell lengths 6.5777, 6.5777, 6.5777 Å; angles 60.00, 60.00, 60.00 degrees
Fractional positions:
1 La 0.3738 0.3738 0.8786
2 La 0.8786 0.3738 0.3738
3 La 0.3738 0.8786 0.3738
4 La 0.3738 0.3738 0.3738
5 Y 0.7500 0.7500 0.7500
6 Al 0.0000 0.0000 0.0000

## Properties
As for the space group: No. 216. The formation energy is 0.2834 eV per atom.


Entry 6:
Compound: AcAl6Pd3
Source: Alexandria via LeMat-Bulk
Functional: PBE-GGA
Structure: optimized geometry

Cell lengths 6.8316, 7.0521, 8.2180 Å; angles 111.41, 90.00, 90.00 degrees
Fractional positions:
1 Al 0.8220 0.0948 0.3919
2 Al 0.4910 0.0296 0.1754
3 Al 0.0090 0.5296 0.6754
4 Al 0.2123 0.7964 0.2608
5 Al 0.7123 0.7036 0.2392
6 Al 0.7877 0.2036 0.7392
7 Al 0.1780 0.9052 0.6081
8 Al 0.5090 0.9704 0.8246
9 Al 0.6780 0.5948 0.8919
10 Al 0.3220 0.4052 0.1081
11 Al 0.9910 0.4704 0.3246
12 Al 0.2877 0.2964 0.7608
13 Pd 0.6660 0.3058 0.0770
14 Pd 0.1660 0.1942 0.4230
15 Pd 0.8340 0.8058 0.5770
16 Pd 0.3340 0.6942 0.9230
17 Pd 0.0000 0.5000 0.0000
18 Pd 0.5000 0.0000 0.5000
19 Ac 0.5000 0.5000 0.5000
20 Ac 0.0000 0.0000 0.0000

## Properties
As for the space group: No. 14. The formation energy is -0.5804 eV per atom.


Entry 7:
Compound: Li2CdHg4Pb
Source: Alexandria via LeMat-Bulk
Functional: PBE-GGA
Structure: optimized geometry

Cell lengths 4.9259, 4.9259, 9.2715 Å; angles 74.59, 74.59, 60.00 degrees
Fractional positions:
1 Hg 0.8739 0.8739 0.3784
2 Hg 0.3856 0.3856 0.8432
3 Hg 0.6144 0.6144 0.1568
4 Hg 0.1261 0.1261 0.6216
5 Pb 0.0000 0.0000 0.0000
6 Li 0.7557 0.7557 0.7330
7 Li 0.2443 0.2443 0.2670
8 Cd 0.5000 0.5000 0.5000

## Properties
As for the space group: No. 166. The formation energy is -0.1735 eV per atom.


Entry 8:
Compound: Sr2Ge2Te
Source: Alexandria via LeMat-Bulk
Functional: PBE-GGA
Structure: optimized geometry

Cell lengths 4.0308, 4.0308, 9.5683 Å; angles 77.84, 77.84, 90.00 degrees
Fractional positions:
1 Ge 0.2500 0.7500 0.5000
2 Ge 0.7500 0.2500 0.5000
3 Sr 0.6055 0.6055 0.7889
4 Sr 0.3945 0.3945 0.2111
5 Te 0.0000 0.0000 0.0000

## Properties
As for the space group: No. 139. The uncorrected formation energy is -767.5 meV/atom. As for the excess energy over the best structure of this formula in the dataset: 0 kJ/mol of formula units.


Please write out number 6 again, unchanged.
Compound: AcAl6Pd3
Source: Alexandria via LeMat-Bulk
Functional: PBE-GGA
Structure: optimized geometry

Cell lengths 6.8316, 7.0521, 8.2180 Å; angles 111.41, 90.00, 90.00 degrees
Fractional positions:
1 Al 0.8220 0.0948 0.3919
2 Al 0.4910 0.0296 0.1754
3 Al 0.0090 0.5296 0.6754
4 Al 0.2123 0.7964 0.2608
5 Al 0.7123 0.7036 0.2392
6 Al 0.7877 0.2036 0.7392
7 Al 0.1780 0.9052 0.6081
8 Al 0.5090 0.9704 0.8246
9 Al 0.6780 0.5948 0.8919
10 Al 0.3220 0.4052 0.1081
11 Al 0.9910 0.4704 0.3246
12 Al 0.2877 0.2964 0.7608
13 Pd 0.6660 0.3058 0.0770
14 Pd 0.1660 0.1942 0.4230
15 Pd 0.8340 0.8058 0.5770
16 Pd 0.3340 0.6942 0.9230
17 Pd 0.0000 0.5000 0.0000
18 Pd 0.5000 0.0000 0.5000
19 Ac 0.5000 0.5000 0.5000
20 Ac 0.0000 0.0000 0.0000

## Properties
As for the space group: No. 14. The formation energy is -0.5804 eV per atom.